[1]
Compound: CeSm12Tm5
Source: Alexandria
Functional: PBE
Structure: optimized geometry

Cell and atoms, written as POSCAR:
```
CeSm12Tm5
1.0
15.2030 -0.0048 -0.0228
7.5991 7.6047 -0.0114
0.0075 0.0000 5.0744
Ce Sm Tm
1 12 5
Direct
0.0000 0.0000 0.0000 Ce
0.8360 0.0001 0.5001 Sm
0.1640 0.0000 0.4999 Sm
0.6647 0.0000 0.0001 Sm
0.3353 0.0000 0.9999 Sm
0.3317 0.6670 0.0000 Sm
0.0013 0.6671 0.0000 Sm
0.9987 0.3329 0.0000 Sm
0.6683 0.3331 0.0000 Sm
0.4985 0.3320 0.5001 Sm
0.8306 0.6679 0.5001 Sm
0.1694 0.3321 0.4999 Sm
0.5015 0.6680 0.4999 Sm
0.5000 0.0000 0.5000 Tm
0.1660 0.6679 0.5000 Tm
0.8340 0.3321 0.5000 Tm
0.6670 0.6661 0.0000 Tm
0.3330 0.3339 0.0000 Tm
```

Properties
calculated volume	32.60	Å³/atom
DOS at the Fermi energy	29.416	states/eV per cell
electronic total energy	-4.684	eV/atom
magnetic moment	1.280	μB per cell

[2]
Compound: ScTaZn2Pt
Source: Alexandria
Functional: PBE
Structure: optimized geometry

Cell and atoms, written as POSCAR:
```
ScTaZn2Pt
1.0
4.7827 0.0000 0.0000
0.0000 4.6862 0.0000
0.0000 0.0000 4.7827
Sc Zn Pt Ta
1 2 1 1
Direct
0.0000 0.0000 0.0000 Sc
0.0000 0.0000 0.5000 Zn
0.5000 0.0000 0.0000 Zn
0.5000 0.5000 0.5000 Pt
0.0000 0.5000 0.0000 Ta
```

Properties
calculated volume	21.44	Å³/atom
DOS at the Fermi energy	4.030	states/eV per cell
electronic total energy	-3.884	eV/atom
magnetic moment	0.000	μB per cell

[3]
Compound: YBe2
Source: Alexandria
Functional: PBE
Structure: optimized geometry

Cell and atoms, written as POSCAR:
```
YBe2
1.0
-3.7824 -4.4564 0.7187
-2.0326 -0.2698 5.5207
0.2597 3.4076 -4.7962
Y Be
2 4
Direct
0.3252 0.3252 0.0000 Y
0.6748 0.6748 0.0000 Y
0.8122 0.0000 0.8122 Be
0.0996 0.5996 0.5000 Be
0.9004 0.4004 0.5000 Be
0.1878 0.0000 0.1878 Be
```

Properties
calculated volume	16.40	Å³/atom
DOS at the Fermi energy	4.428	states/eV per cell
electronic total energy	-4.579	eV/atom
magnetic moment	0.001	μB per cell

[4]
Compound: ScHgW4
Source: Alexandria
Functional: PBE
Structure: optimized geometry

Cell and atoms, written as POSCAR:
```
ScHgW4
1.0
0.0000 3.8114 3.8114
3.8114 0.0000 3.8114
3.8114 3.8114 0.0000
Sc Hg W
1 1 4
Direct
0.0000 0.0000 0.0000 Sc
0.7500 0.7500 0.7500 Hg
0.8743 0.3752 0.3752 W
0.3752 0.3752 0.8743 W
0.3752 0.8743 0.3752 W
0.3752 0.3752 0.3752 W
```

Properties
calculated volume	18.46	Å³/atom
DOS at the Fermi energy	6.744	states/eV per cell
electronic total energy	-9.330	eV/atom
magnetic moment	0.000	μB per cell

[5]
Compound: Ba2LaZn
Source: Alexandria
Functional: PBE
Structure: optimized geometry

Cell and atoms, written as POSCAR:
```
Ba2LaZn
1.0
-4.0371 -3.4365 -0.1738
1.0180 -0.9851 -4.1702
4.8306 -5.6853 0.2031
Ba La Zn
2 1 1
Direct
0.0000 0.9710 0.9348 Ba
0.5000 0.2835 0.3051 Ba
0.0000 0.6768 0.5157 La
0.5000 0.5686 0.7444 Zn
```

Properties
calculated volume	41.66	Å³/atom
DOS at the Fermi energy	4.493	states/eV per cell
electronic total energy	-2.446	eV/atom
magnetic moment	0.001	μB per cell

[6]
Compound: PmNdHo
Source: Alexandria
Functional: PBE
Structure: optimized geometry

Cell and atoms, written as POSCAR:
```
PmNdHo
1.0
-6.4279 2.7007 5.2046
-6.4114 -6.7471 2.8551
0.1712 -3.2559 9.1734
Pm Nd Ho
6 6 6
Direct
0.3057 0.9407 0.4407 Pm
0.6870 0.0593 0.5593 Pm
0.6901 0.5688 0.0688 Pm
0.3278 0.4312 0.9312 Pm
0.8075 0.2465 0.7465 Pm
0.8005 0.7535 0.2535 Pm
0.4900 0.5000 0.5000 Nd
0.4900 0.0000 0.0000 Nd
0.2369 0.9778 0.8149 Nd
0.0296 0.0222 0.1851 Nd
0.0296 0.6851 0.5222 Nd
0.2369 0.3149 0.4778 Nd
0.2620 0.6453 0.1453 Ho
0.0525 0.3547 0.8547 Ho
0.6021 0.6676 0.7169 Ho
0.9867 0.3324 0.2831 Ho
0.9867 0.7831 0.8324 Ho
0.6021 0.2169 0.1676 Ho
```

Properties
calculated volume	34.05	Å³/atom
DOS at the Fermi energy	23.683	states/eV per cell
electronic total energy	-4.540	eV/atom
magnetic moment	0.000	μB per cell

[7]
Compound: LiPaInI6
Source: Alexandria
Functional: PBE
Structure: optimized geometry

Cell and atoms, written as POSCAR:
```
LiPaInI6
1.0
7.7858 0.0000 0.0000
-3.8929 6.7427 0.0000
0.0000 0.0000 15.2780
Li Pa In I
2 2 2 12
Direct
0.3333 0.6667 0.2500 Li
0.6667 0.3333 0.7500 Li
0.6667 0.3333 0.2500 Pa
0.3333 0.6667 0.7500 Pa
0.0000 0.0000 0.0000 In
0.0000 0.0000 0.5000 In
0.6384 0.6390 0.1357 I
0.0005 0.3616 0.1357 I
0.3616 0.0005 0.6357 I
0.9995 0.6384 0.8643 I
0.3610 0.3616 0.3643 I
0.0005 0.6390 0.3643 I
0.6390 0.0005 0.8643 I
0.6384 0.9995 0.3643 I
0.9995 0.3610 0.6357 I
0.3610 0.9995 0.1357 I
0.6390 0.6384 0.6357 I
0.3616 0.3610 0.8643 I
```

Properties
calculated volume	44.56	Å³/atom
energy relative to the elements, uncorrected	-8.1	eV/f.u.
DOS at the Fermi energy	1.497	states/eV per cell
electronic total energy	-3.506	eV/atom
magnetic moment	2.011	μB per cell

[8]
Compound: Dy3Si6Pd20
Source: Alexandria
Functional: PBE
Structure: optimized geometry

Cell and atoms, written as POSCAR:
```
Dy3Si6Pd20
1.0
-4.9397 1.0833 7.0879
-6.2767 -5.7435 1.8515
0.8865 -5.3803 6.7882
Dy Si Pd
3 6 20
Direct
0.2500 0.2500 0.2500 Dy
0.7500 0.7500 0.7500 Dy
0.0000 0.0000 0.0000 Dy
0.7325 0.2675 0.2675 Si
0.2675 0.7325 0.7325 Si
0.2675 0.7325 0.2675 Si
0.7325 0.2675 0.7325 Si
0.2675 0.2675 0.7325 Si
0.7325 0.7325 0.2675 Si
0.3835 0.3835 0.3835 Pd
0.6165 0.6165 0.6165 Pd
0.3835 0.3835 0.8496 Pd
0.3835 0.8496 0.3835 Pd
0.6165 0.6165 0.1504 Pd
0.6165 0.1504 0.6165 Pd
0.8496 0.3835 0.3835 Pd
0.1504 0.6165 0.6165 Pd
0.3454 0.0000 0.0000 Pd
0.6546 0.0000 0.0000 Pd
0.0000 0.3454 0.6546 Pd
0.0000 0.6546 0.3454 Pd
0.0000 0.3454 0.0000 Pd
0.6546 0.0000 0.3454 Pd
0.0000 0.6546 0.0000 Pd
0.3454 0.0000 0.6546 Pd
0.0000 0.0000 0.3454 Pd
0.0000 0.0000 0.6546 Pd
0.6546 0.3454 0.0000 Pd
0.3454 0.6546 0.0000 Pd
```

Properties
calculated volume	16.10	Å³/atom
energy relative to the elements, uncorrected	-23.8	eV/f.u.
DOS at the Fermi energy	7.223	states/eV per cell
electronic total energy	-6.001	eV/atom
magnetic moment	0.000	μB per cell